Record 1
This record from OQMD via LeMat-Bulk describes an optimized crystal structure of K3NaHf2Te6. The functional is PBE.

CIF file:
```
data_K3NaHf2Te6
_cell_length_a 7.754
_cell_length_b 13.441
_cell_length_c 8.321
_cell_angle_alpha 90.00
_cell_angle_beta 107.07
_cell_angle_gamma 90.00
_symmetry_space_group_name_H-M 'C 1 2/m 1'
_symmetry_Int_Tables_number 12
_symmetry_space_group_name_Hall '-C 2y'
loop_
_atom_site_label
_atom_site_type_symbol
_atom_site_fract_x
_atom_site_fract_y
_atom_site_fract_z
K1 K 0.000 0.000 0.000
K2 K 0.000 0.149 0.500
Na1 Na 0.000 0.500 0.500
Hf1 Hf 0.000 0.330 0.000
Te1 Te 0.175 0.500 0.211
Te2 Te 0.243 0.311 0.791
```

Summary:
excess energy over the best structure of this formula in the dataset: 19 meV per atom

Record 2
This record from OQMD via LeMat-Bulk describes an optimized crystal structure of Dy3Ho3Te2Os. The functional is PBE.

CIF file:
```
data_Dy3Ho3Te2Os
_cell_length_a 8.2928
_cell_length_b 8.2928
_cell_length_c 4.0323
_cell_angle_alpha 90.00
_cell_angle_beta 90.00
_cell_angle_gamma 120.00
_symmetry_space_group_name_H-M 'P -6 2 m'
_symmetry_Int_Tables_number 189
_symmetry_space_group_name_Hall 'P -6 -2'
loop_
_atom_site_label
_atom_site_type_symbol
_atom_site_fract_x
_atom_site_fract_y
_atom_site_fract_z
Dy1 Dy 0.0000 0.7602 0.0000
Ho1 Ho 0.0000 0.3914 0.5000
Te1 Te 0.3333 0.6667 0.0000
Os1 Os 0.0000 0.0000 0.5000
```

Summary:
excess energy over the best structure of this formula in the dataset: 19 meV per atom

Record 3
This record from OQMD via LeMat-Bulk describes an optimized crystal structure of InTcS. The functional is PBE.

CIF file:
```
data_InTcS
_cell_length_a 6.525
_cell_length_b 3.115
_cell_length_c 6.675
_cell_angle_alpha 90.00
_cell_angle_beta 112.27
_cell_angle_gamma 90.00
_symmetry_space_group_name_H-M 'P 1 m 1'
_symmetry_Int_Tables_number 6
_symmetry_space_group_name_Hall 'P -2y'
loop_
_atom_site_label
_atom_site_type_symbol
_atom_site_fract_x
_atom_site_fract_y
_atom_site_fract_z
In1 In 0.000 0.000 0.000
In2 In 0.010 0.500 0.509
Tc1 Tc 0.332 0.000 0.843
Tc2 Tc 0.684 0.500 0.092
S1 S 0.505 0.000 0.224
S2 S 0.517 0.500 0.712
```

Summary:
DFT total energy: -36.559 eV per cell

no.,mass density (g cm⁻³)
1,5.1
2,9.9
3,6.5